## HoHfPt2 (GGA-PBE)

Data for an optimized crystal structure of HoHfPt2.

The space group is R-3m (No. 166, hexagonal axes) and the conventional cell measures 4.6171, 4.6171 and 13.4013 Å, with angles of 90.00, 90.00 and 120.00 degrees. The inequivalent atoms are Ho at (0.0000, 0.0000, 0.0000), Hf at (0.0000, 0.0000, 0.5000) and Pt at (0.0000, 0.0000, 0.2203).

The calculation puts the density of states at the Fermi level at 10.4 states/eV/cell. As for the density: 14.8 Mg/m³. The value obtained for the formation energy from the elements is -1100 meV/atom.

***

## HoHfPt2 (GGA-PBE)

Data for an optimized crystal structure of HoHfPt2.

The space group is P2_1/m (No. 11) and the conventional cell measures 5.7253, 4.4952 and 6.7415 Å, with angles of 90.00, 110.14 and 90.00 degrees. The inequivalent atoms are Ho at (0.1767, 0.2500, 0.4024), Hf at (0.3609, 0.7500, 0.1082), Pt at (0.1154, 0.2500, 0.8887) and Pt at (0.3702, 0.7500, 0.7162).

The calculation puts the density of states at the Fermi level at 4.1 states/eV/cell. As for the density: 15.0 Mg/m³. The value obtained for the formation energy from the elements is -1157 meV/atom.

***

## Ho3HfPt12 (GGA-PBE)

Data for an optimized crystal structure of Ho3HfPt12.

The space group is P4/mmm (No. 123) and the conventional cell measures 4.0886, 4.0886 and 16.3693 Å, with angles of 90.00, 90.00 and 90.00 degrees. The inequivalent atoms are Ho at (0.0000, 0.0000, 0.0000), Ho at (0.0000, 0.0000, 0.2508), Hf at (0.0000, 0.0000, 0.5000), Pt at (0.0000, 0.5000, 0.1262), Pt at (0.0000, 0.5000, 0.3807), Pt at (0.5000, 0.5000, 0.0000), Pt at (0.5000, 0.5000, 0.2535) and Pt at (0.5000, 0.5000, 0.5000).

The calculation puts the density of states at the Fermi level at 13.8 states/eV/cell. As for the density: 18.3 Mg/m³. The value obtained for the formation energy from the elements is -1076 meV/atom.

***

## Ho3Hf5Pt12 (GGA-PBE)

Data for an optimized crystal structure of Ho3Hf5Pt12.

The space group is Ia-3d (No. 230) and the conventional cell measures 15.6479, 15.6479 and 15.6479 Å, with angles of 90.00, 90.00 and 90.00 degrees. The inequivalent atoms are Ho at (0.0000, 0.2500, 0.1250), Hf at (0.0000, 0.0000, 0.0000), Hf at (0.0000, 0.2500, 0.3750) and Pt at (0.0118, 0.0738, 0.6534).

The calculation puts the density of states at the Fermi level at 92.5 states/eV/cell. As for the density: 12.9 Mg/m³. The value obtained for the formation energy from the elements is -570 meV/atom.

***

## HoHfPt6 (GGA-PBE)

Data for an optimized crystal structure of HoHfPt6.

The space group is P4/mmm (No. 123) and the conventional cell measures 4.0702, 4.0702 and 8.1411 Å, with angles of 90.00, 90.00 and 90.00 degrees. The inequivalent atoms are Ho at (0.0000, 0.0000, 0.0000), Hf at (0.0000, 0.0000, 0.5000), Pt at (0.0000, 0.5000, 0.2587), Pt at (0.5000, 0.5000, 0.0000) and Pt at (0.5000, 0.5000, 0.5000).

The calculation puts the density of states at the Fermi level at 3.2 states/eV/cell. As for the density: 18.6 Mg/m³. The value obtained for the formation energy from the elements is -1108 meV/atom.

***

## Ho2HfSi3Pt4 (GGA-PBE)

Data for an optimized crystal structure of Ho2HfSi3Pt4.

The space group is P-4m2 (No. 115) and the conventional cell measures 4.1128, 4.1128 and 10.8657 Å, with angles of 90.00, 90.00 and 90.00 degrees. The inequivalent atoms are Ho at (0.0000, 0.5000, 0.2274), Hf at (0.0000, 0.0000, 0.5000), Si at (0.0000, 0.5000, 0.8692), Si at (0.5000, 0.5000, 0.5000), Pt at (0.0000, 0.0000, 0.0000), Pt at (0.0000, 0.5000, 0.6510) and Pt at (0.5000, 0.5000, 0.0000).

The calculation puts the final energy at -7.03 eV per atom. The calculation puts the density of states at the Fermi level at 9.3 states/eV/cell. As for the density: 12.4 Mg/m³.

***

## HoHfTcPt (GGA-PBE)

Data for an optimized crystal structure of HoHfTcPt.

The space group is F-43m (No. 216) and the conventional cell measures 6.7053, 6.7053 and 6.7053 Å, with angles of 90.00, 90.00 and 90.00 degrees. The inequivalent atoms are Ho at (0.0000, 0.0000, 0.0000), Hf at (0.0000, 0.0000, 0.5000), Tc at (0.2500, 0.2500, 0.7500) and Pt at (0.2500, 0.2500, 0.2500).

The calculation puts the density of states at the Fermi level at 5.0 states/eV/cell. As for the density: 14.0 Mg/m³. The value obtained for the formation energy from the elements is -682 meV/atom.

***

## HoPuHf (GGA-PBE)

Data for an optimized crystal structure of HoPuHf.

The space group is I4mm (No. 107) and the conventional cell measures 3.3044, 3.3044 and 14.3040 Å, with angles of 90.00, 90.00 and 90.00 degrees. The inequivalent atoms are Ho at (0.0000, 0.0000, 0.0000), Pu at (0.0000, 0.0000, 0.3188) and Hf at (0.0000, 0.0000, 0.6657).

The calculation puts the density of states at the Fermi level at 13.5 states/eV/cell. As for the density: 12.5 Mg/m³. The value obtained for the formation energy from the elements is 156 meV/atom.

***

## HoPuHf2 (GGA-PBE)

Data for an optimized crystal structure of HoPuHf2.

The space group is P4/mmm (No. 123) and the conventional cell measures 4.5911, 4.5911 and 4.6765 Å, with angles of 90.00, 90.00 and 90.00 degrees. The inequivalent atoms are Ho at (0.0000, 0.0000, 0.0000), Pu at (0.5000, 0.5000, 0.0000) and Hf at (0.0000, 0.5000, 0.5000).

The calculation puts the density of states at the Fermi level at 10.7 states/eV/cell. As for the density: 12.9 Mg/m³. The value obtained for the formation energy from the elements is 178 meV/atom.

***

## HoPuHf2 (GGA-PBE)

Data for an optimized crystal structure of HoPuHf2.

The space group is R-3m (No. 166, hexagonal axes) and the conventional cell measures 3.2714, 3.2714 and 32.0114 Å, with angles of 90.00, 90.00 and 120.00 degrees. The inequivalent atoms are Ho at (0.0000, 0.0000, 0.0000), Pu at (0.0000, 0.0000, 0.5000) and Hf at (0.0000, 0.0000, 0.2474).

The calculation puts the density of states at the Fermi level at 28.6 states/eV/cell. As for the density: 12.9 Mg/m³. The value obtained for the formation energy from the elements is 193 meV/atom.

***

## HoPuHf (GGA-PBE)

Data for an optimized crystal structure of HoPuHf.

The space group is P-6m2 (No. 187) and the conventional cell measures 5.2768, 5.2768 and 3.1724 Å, with angles of 90.00, 90.00 and 120.00 degrees. The inequivalent atoms are Ho at (0.0000, 0.0000, 0.0000), Pu at (0.6667, 0.3333, 0.5000) and Hf at (0.3333, 0.6667, 0.5000).

The calculation puts the density of states at the Fermi level at 9.1 states/eV/cell. As for the density: 12.8 Mg/m³. The value obtained for the formation energy from the elements is 214 meV/atom.

***

## HoPuHf2 (GGA-PBE)

Data for an optimized crystal structure of HoPuHf2.

The space group is P4/mmm (No. 123) and the conventional cell measures 3.7627, 3.7627 and 7.0042 Å, with angles of 90.00, 90.00 and 90.00 degrees. The inequivalent atoms are Ho at (0.0000, 0.0000, 0.0000), Pu at (0.0000, 0.0000, 0.5000) and Hf at (0.5000, 0.5000, 0.2835).

The calculation puts the density of states at the Fermi level at 7.5 states/eV/cell. As for the density: 12.8 Mg/m³. The value obtained for the formation energy from the elements is 222 meV/atom.